[1]
CsMgSe2: relaxed, PBE.

Cell and atoms, written as extended XYZ:
```
8
Lattice="-3.160 3.160 7.817 3.160 -3.160 7.817 3.160 3.160 -7.817" Properties=species:S:1:pos:R:3 pbc="T T T"
Cs 0.000 0.000 0.000
Cs 0.000 3.160 3.909
Mg 0.000 0.000 7.817
Mg 3.160 0.000 3.909
Se 3.160 1.580 1.954
Se 0.000 1.580 9.772
Se 1.580 3.160 -1.954
Se 1.580 0.000 5.863
```

## Properties
uncorrected formation energy = -0.954 eV/atom
symmetry = I4_1/amd, No. 141



[2]
LiScTlAg: relaxed, PBE.

Cell and atoms, written as extended XYZ:
```
4
Lattice="-4.695 0.808 -0.786 -3.218 -3.511 0.790 -3.052 0.316 3.728" Properties=species:S:1:pos:R:3 pbc="T T T"
Sc 0.000 0.000 0.000
Tl -2.741 -0.597 0.933
Ag -8.224 -1.790 2.799
Li -5.482 -1.193 1.866
```

## Properties
formation energy = -24.5 kJ per mole of atoms
symmetry = F-43m, No. 216



[3]
Al2SiAs: relaxed, PBE.

Cell and atoms, written as extended XYZ:
```
4
Lattice="4.390 0.000 0.000 0.000 4.393 0.000 0.000 0.000 3.495" Properties=species:S:1:pos:R:3 pbc="T T T"
As 2.195 0.000 1.747
Si 0.000 2.197 1.747
Al 0.000 0.000 0.000
Al 2.195 2.197 0.000
```

## Properties
uncorrected formation energy = 0.195 eV/atom
symmetry = P4/mmm, No. 123



N(E_F), record by record: 1.07 1.04 1.05 states/eV/cell
Calculated total energy, record by record: -3.3087 -3.6200 -4.1944 eV/atom